First-principles (PBE-GGA) data for Zn2Cu5Au12 after structural relaxation, as listed in Alexandria via LeMat-Bulk.

Geometry as CIF:
```
data_Zn2Cu5Au12
_space_group_name_H-M_alt 'C 1 2/m 1'
_space_group_IT_number 12
_cell_length_a 11.5429
_cell_length_b 7.6853
_cell_length_c 9.2006
_cell_angle_alpha 90.00
_cell_angle_beta 128.41
_cell_angle_gamma 90.00
loop_
_space_group_symop_operation_xyz
'x,y,z'
'-x,-y,-z'
'-x,y,-z'
'x,-y,z'
'x+1/2,y+1/2,z'
'-x+1/2,-y+1/2,-z'
'-x+1/2,y+1/2,-z'
'x+1/2,-y+1/2,z'
loop_
_atom_site_label
_atom_site_fract_x
_atom_site_fract_y
_atom_site_fract_z
Zn1 0.0000 0.2477 0.0000
Cu1 0.0000 0.5000 0.5000
Cu2 0.1113 0.0000 0.9391
Cu3 0.1166 0.5000 0.3422
Au1 0.1295 0.3066 0.8162
Au2 0.1367 0.1889 0.5188
Au3 0.1798 0.0000 0.2750
Au4 0.1949 0.5000 0.1312
```

Properties
calculated formation energy	-0.021	eV/atom
spin magnetization	0.0	μB/f.u.
calculated volume	16.83	A^3/atom
relative energy among the computed polymorphs	0	meV/atom
final energy	-3.30	eV/atom

First-principles (PBE-GGA) data for Y9Ho4Tl11 after structural relaxation, as listed in Alexandria via LeMat-Bulk.

Geometry as CIF:
```
data_Y9Ho4Tl11
_space_group_name_H-M_alt 'C m m m'
_space_group_IT_number 65
_space_group_name_Hall '-C 2 2'
_cell_length_a 16.2344
_cell_length_b 22.8590
_cell_length_c 3.5898
_cell_angle_alpha 90.00
_cell_angle_beta 90.00
_cell_angle_gamma 90.00
loop_
_atom_site_label
_atom_site_fract_x
_atom_site_fract_y
_atom_site_fract_z
Y1 0.0000 0.0000 0.0000
Y2 0.1110 0.4072 0.0000
Y3 0.1141 0.2289 0.0000
Ho1 0.1657 0.0816 0.0000
Tl1 0.0000 0.1234 0.5000
Tl2 0.0000 0.3147 0.5000
Tl3 0.0000 0.5000 0.5000
Tl4 0.2158 0.5000 0.5000
Tl5 0.2318 0.3209 0.5000
```

Properties
calculated formation energy	-0.284	eV/atom
spin magnetization	0.0	μB/f.u.
calculated volume	27.75	A^3/atom
final energy	-4.56	eV/atom

First-principles (PBE-GGA) data for CuSn2Te2 after structural relaxation, as listed in Alexandria via LeMat-Bulk.

Geometry as CIF:
```
data_CuSn2Te2
_space_group_name_H-M_alt 'P 4/m b m'
_space_group_IT_number 127
_space_group_name_Hall '-P 4 2ab'
_cell_length_a 7.9384
_cell_length_b 7.9384
_cell_length_c 4.4187
_cell_angle_alpha 90.00
_cell_angle_beta 90.00
_cell_angle_gamma 90.00
loop_
_atom_site_label
_atom_site_fract_x
_atom_site_fract_y
_atom_site_fract_z
Cu1 0.0000 0.0000 0.0000
Sn1 0.1519 0.3481 0.0000
Te1 0.1663 0.6663 0.5000
```

Properties
spin magnetization	0.0	μB/f.u.
calculated volume	27.85	A^3/atom
relative energy among the computed polymorphs	64	meV/atom
energy relative to the elements, uncorrected	0.20	eV per atom
final energy	-3.48	eV/atom

Question: Among the records above, which one has the highest calculated volume?
Answer: CuSn2Te2